No. 1
## Y2PW (GGA-PBEsol)

Data for Y2PW after structural relaxation.

a b c (Å): 4.027 5.025 8.092
angles (deg): 90.00 90.00 90.00
Space group Cmmm (No. 65)
One atom of each set of equivalent atoms:
Y: 0.000 0.000 0.230 x4
P: 0.000 0.500 0.000 x2
W: 0.000 0.500 0.500 x2

Summary:
- E (eV per atom) = -8.411
- formation enthalpy at 0 K (eV per atom) = -0.1003
- size of the total moment (μB per cell) = 0.0

No. 2
## CsSrCr3 (GGA-PBEsol)

Data for CsSrCr3 after structural relaxation.

a b c (Å): 5.163 5.163 5.163
angles (deg): 90.00 90.00 90.00
Space group Pm-3m (No. 221)
One atom of each set of equivalent atoms:
Cs: 0.000 0.000 0.000 x1
Sr: 0.500 0.500 0.500 x1
Cr: 0.000 0.000 0.500 x3

Summary:
- E (eV per atom) = -4.442
- formation enthalpy at 0 K (eV per atom) = 2.2597
- size of the total moment (μB per cell) = 10.9

Copy entry 2 word for word.
## CsSrCr3 (GGA-PBEsol)

Data for CsSrCr3 after structural relaxation.

a b c (Å): 5.163 5.163 5.163
angles (deg): 90.00 90.00 90.00
Space group Pm-3m (No. 221)
One atom of each set of equivalent atoms:
Cs: 0.000 0.000 0.000 x1
Sr: 0.500 0.500 0.500 x1
Cr: 0.000 0.000 0.500 x3

Summary:
- E (eV per atom) = -4.442
- formation enthalpy at 0 K (eV per atom) = 2.2597
- size of the total moment (μB per cell) = 10.9

Q: formation enthalpy at 0 K of number 2 (CsSrCr3)?
A: 2.2597 eV per atom

Q: Among the records above, which one has the lowest size of the total moment?
A: Y2PW